## Ba2MnCdFe2F14 (GGA+U)

Data for an optimized crystal structure of Ba2MnCdFe2F14.

Unit cell a=7.5265 b=7.5265 c=15.0964 alpha=90.97 beta=90.97 gamma=42.36
With the nearest neighbours (Å) after each atom.
Positions (direct):
Ba  0.1370  0.2431  0.1224  9 F 2.73-3.00
Ba  0.2431  0.1370  0.6224  9 F 2.73-3.00
Ba  0.7569  0.8630  0.3776  9 F 2.73-3.00
Ba  0.8630  0.7569  0.8776  9 F 2.73-3.00
Mn  0.5000  0.5000  0.0000  4 F 2.03-2.06
Mn  0.5000  0.5000  0.5000  4 F 2.03-2.06
Cd  0.4389  0.5611  0.2500  6 F 2.24-2.37
Cd  0.5611  0.4389  0.7500  6 F 2.24-2.37
Fe  0.1092  0.1305  0.3758  6 F 1.93-2.00
Fe  0.1305  0.1092  0.8758  6 F 1.93-2.00
Fe  0.8695  0.8908  0.1242  6 F 1.93-2.00
Fe  0.8908  0.8695  0.6242  6 F 1.93-2.00
F  0.0392  0.6303  0.2214  1 Fe 1.99
F  0.0841  0.8990  0.3429  1 Fe 1.94
F  0.1010  0.9159  0.1571  1 Fe 1.94
F  0.1081  0.7280  0.5171  1 Fe 1.97, 1 Mn 2.06
F  0.1535  0.5837  0.0454  1 Fe 2.00
F  0.1651  0.5878  0.7051  1 Fe 1.95
F  0.1757  0.3256  0.4101  1 Fe 1.93
F  0.2720  0.8919  0.9829  1 Fe 1.97, 1 Mn 2.06
F  0.3256  0.1757  0.9101  1 Fe 1.93
F  0.3640  0.5247  0.8786  1 Mn 2.03, 1 Cd 2.24
F  0.3697  0.9608  0.2786  1 Fe 1.99
F  0.4122  0.8349  0.7949  1 Fe 1.95
F  0.4163  0.8465  0.4546  1 Fe 2.00
F  0.4753  0.6360  0.6214  1 Mn 2.03, 1 Cd 2.24
F  0.5247  0.3640  0.3786  1 Mn 2.03, 1 Cd 2.24
F  0.5837  0.1535  0.5454  1 Fe 2.00
F  0.5878  0.1651  0.2051  1 Fe 1.95
F  0.6303  0.0392  0.7214  1 Fe 1.99
F  0.6360  0.4753  0.1214  1 Mn 2.03, 1 Cd 2.24
F  0.6744  0.8243  0.0899  1 Fe 1.93
F  0.7280  0.1081  0.0171  1 Fe 1.97, 1 Mn 2.06
F  0.8243  0.6744  0.5899  1 Fe 1.93
F  0.8349  0.4122  0.2949  1 Fe 1.95
F  0.8465  0.4163  0.9546  1 Fe 2.00
F  0.8919  0.2720  0.4829  1 Fe 1.97, 1 Mn 2.06
F  0.8990  0.0841  0.8429  1 Fe 1.94
F  0.9159  0.1010  0.6571  1 Fe 1.94
F  0.9608  0.3697  0.7786  1 Fe 1.99

Results
- Calculated volume: 14.40 Å³ per atom
- Magnetization: 26.00 μB per cell
- Final energy: -5.304 eV/atom